Computed, not measured: an optimized crystal structure of Cu2Bi4Pb2S9 at the PBEsol level of DFT.

energy relative to the elements, uncorrected: -0.394 eV/atom
V: 1509 Å³/cell
M_tot: 0.00 μB/cell
energy: -4.704 eV/atom

Cell: 11.4370 3.9865 33.1075 Å, 90.00 90.00 90.00°
With the nearest neighbours (Å) after each atom.
Space group Pnma (No. 62)
Unique sites:
Cu  0.2291  0.2500  0.0970 (multiplicity 4)  4 S 2.29-2.35
Cu  0.2358  0.2500  0.4306 (multiplicity 4)  4 S 2.29-2.36
Bi  0.0044  0.2500  0.9374 (multiplicity 4)  5 S 2.71-2.93
Bi  0.0073  0.2500  0.2749 (multiplicity 4)  6 S 2.73-2.98
Bi  0.0134  0.2500  0.6074 (multiplicity 4)  6 S 2.74-2.94
Bi  0.1571  0.7500  0.1790 (multiplicity 4)  3 S 2.64-2.74
Pb  0.1729  0.7500  0.5028 (multiplicity 4)  7 S 2.91-3.23, 2 Cu 3.20
Pb  0.1829  0.7500  0.8342 (multiplicity 4)  7 S 2.94-3.09
S  0.0451  0.2500  0.4520 (multiplicity 4)  1 Cu 2.29
S  0.0459  0.2500  0.1251 (multiplicity 4)  1 Cu 2.29
S  0.0505  0.2500  0.7860 (multiplicity 4)  3 Bi 2.64-2.91
S  0.1148  0.7500  0.9798 (multiplicity 4)  1 Cu 2.36
S  0.1174  0.7500  0.3162 (multiplicity 4)  3 Bi 2.73-2.94
S  0.1288  0.7500  0.6485 (multiplicity 4)  1 Cu 2.35
S  0.2124  0.2500  0.2326 (multiplicity 4)  3 Bi 2.73-2.74
S  0.2146  0.2500  0.8999 (multiplicity 4)  2 Cu 2.31
S  0.2217  0.2500  0.5667 (multiplicity 4)  2 Cu 2.30


Computed, not measured: an optimized crystal structure of Cu2Bi8Pb3Se3S13 at the PBEsol level of DFT.

energy relative to the elements, uncorrected: -0.397 eV/atom
V: 1427 Å³/cell
M_tot: 0.00 μB/cell
energy: -4.656 eV/atom

Cell: 26.4926 4.0049 16.6111 Å, 90.00 125.94 90.00°
With the nearest neighbours (Å) after each atom.
Space group Cm (No. 8)
Unique sites:
Cu  0.0000  0.0000  0.0000 (multiplicity 2)  4 S 2.26-2.36
Cu  0.0929  0.0000  0.9754 (multiplicity 2)  4 S 2.26-2.36
Bi  0.1912  0.5000  0.2209 (multiplicity 2)  3 S 2.66-2.69
Bi  0.1961  0.5000  0.7189 (multiplicity 2)  4 S 2.72-2.94, 2 Se 2.86-2.99
Bi  0.2244  0.0000  0.4679 (multiplicity 2)  6 S 2.70-2.91
Bi  0.2345  0.5000  0.0062 (multiplicity 2)  3 S 2.61-2.92, 2 Se 2.84
Bi  0.3581  0.0000  0.9670 (multiplicity 2)  3 S 2.61-2.91, 2 Se 2.84
Bi  0.3708  0.5000  0.5072 (multiplicity 2)  6 S 2.69-2.94
Bi  0.3966  0.0000  0.2535 (multiplicity 2)  5 S 2.72-2.94, 1 Se 2.99
Bi  0.4016  0.0000  0.7544 (multiplicity 2)  3 S 2.66-2.69
Pb  0.0218  0.0000  0.2084 (multiplicity 2)  5 S 2.90-3.05, 1 Cu 3.16
Pb  0.0472  0.0000  0.4807 (multiplicity 2)  4 S 2.91-2.96, 2 Se 2.98
Pb  0.0700  0.0000  0.7677 (multiplicity 2)  4 S 2.98-3.28, 2 Se 3.00, 1 Cu 3.13
Se  0.0652  0.5000  0.6287 (multiplicity 2)  1 Bi 2.86, 4 Pb 2.98-3.00
Se  0.2583  0.0000  0.1459 (multiplicity 2)  3 Bi 2.84-2.99
Se  0.3346  0.5000  0.8274 (multiplicity 2)  3 Bi 2.84-2.99
S  0.0211  0.5000  0.3338 (multiplicity 2)  1 Bi 2.74, 4 Pb 2.90-2.91
S  0.1085  0.0000  0.1246 (multiplicity 2)  2 Cu 2.26-2.36
S  0.1166  0.5000  0.9356 (multiplicity 2)  2 Cu 2.31
S  0.1490  0.5000  0.3321 (multiplicity 2)  3 Bi 2.66-2.79
S  0.1850  0.0000  0.5988 (multiplicity 2)  3 Bi 2.72-2.91, 1 Pb 2.96
S  0.2058  0.0000  0.8571 (multiplicity 2)  4 Bi 2.92-2.94, 1 Pb 2.98
S  0.2825  0.0000  0.3783 (multiplicity 2)  3 Bi 2.70-2.86
S  0.3125  0.5000  0.5961 (multiplicity 2)  3 Bi 2.69-2.86
S  0.3858  0.5000  0.1148 (multiplicity 2)  4 Bi 2.91-2.94, 1 Pb 2.97
S  0.4117  0.5000  0.3767 (multiplicity 2)  3 Bi 2.72-2.94, 1 Pb 2.93
S  0.4447  0.0000  0.6445 (multiplicity 2)  3 Bi 2.66-2.79
S  0.4763  0.0000  0.0400 (multiplicity 2)  2 Cu 2.31
S  0.4844  0.5000  0.8509 (multiplicity 2)  2 Cu 2.26-2.36


Please write out number 1 again, unchanged.
Computed, not measured: an optimized crystal structure of Cu2Bi4Pb2S9 at the PBEsol level of DFT.

energy relative to the elements, uncorrected: -0.394 eV/atom
V: 1509 Å³/cell
M_tot: 0.00 μB/cell
energy: -4.704 eV/atom

Cell: 11.4370 3.9865 33.1075 Å, 90.00 90.00 90.00°
With the nearest neighbours (Å) after each atom.
Space group Pnma (No. 62)
Unique sites:
Cu  0.2291  0.2500  0.0970 (multiplicity 4)  4 S 2.29-2.35
Cu  0.2358  0.2500  0.4306 (multiplicity 4)  4 S 2.29-2.36
Bi  0.0044  0.2500  0.9374 (multiplicity 4)  5 S 2.71-2.93
Bi  0.0073  0.2500  0.2749 (multiplicity 4)  6 S 2.73-2.98
Bi  0.0134  0.2500  0.6074 (multiplicity 4)  6 S 2.74-2.94
Bi  0.1571  0.7500  0.1790 (multiplicity 4)  3 S 2.64-2.74
Pb  0.1729  0.7500  0.5028 (multiplicity 4)  7 S 2.91-3.23, 2 Cu 3.20
Pb  0.1829  0.7500  0.8342 (multiplicity 4)  7 S 2.94-3.09
S  0.0451  0.2500  0.4520 (multiplicity 4)  1 Cu 2.29
S  0.0459  0.2500  0.1251 (multiplicity 4)  1 Cu 2.29
S  0.0505  0.2500  0.7860 (multiplicity 4)  3 Bi 2.64-2.91
S  0.1148  0.7500  0.9798 (multiplicity 4)  1 Cu 2.36
S  0.1174  0.7500  0.3162 (multiplicity 4)  3 Bi 2.73-2.94
S  0.1288  0.7500  0.6485 (multiplicity 4)  1 Cu 2.35
S  0.2124  0.2500  0.2326 (multiplicity 4)  3 Bi 2.73-2.74
S  0.2146  0.2500  0.8999 (multiplicity 4)  2 Cu 2.31
S  0.2217  0.2500  0.5667 (multiplicity 4)  2 Cu 2.30


Q: Which of these has the highest V?
A: Cu2Bi4Pb2S9


Please write out number 2 again, unchanged.
Computed, not measured: an optimized crystal structure of Cu2Bi8Pb3Se3S13 at the PBEsol level of DFT.

energy relative to the elements, uncorrected: -0.397 eV/atom
V: 1427 Å³/cell
M_tot: 0.00 μB/cell
energy: -4.656 eV/atom

Cell: 26.4926 4.0049 16.6111 Å, 90.00 125.94 90.00°
With the nearest neighbours (Å) after each atom.
Space group Cm (No. 8)
Unique sites:
Cu  0.0000  0.0000  0.0000 (multiplicity 2)  4 S 2.26-2.36
Cu  0.0929  0.0000  0.9754 (multiplicity 2)  4 S 2.26-2.36
Bi  0.1912  0.5000  0.2209 (multiplicity 2)  3 S 2.66-2.69
Bi  0.1961  0.5000  0.7189 (multiplicity 2)  4 S 2.72-2.94, 2 Se 2.86-2.99
Bi  0.2244  0.0000  0.4679 (multiplicity 2)  6 S 2.70-2.91
Bi  0.2345  0.5000  0.0062 (multiplicity 2)  3 S 2.61-2.92, 2 Se 2.84
Bi  0.3581  0.0000  0.9670 (multiplicity 2)  3 S 2.61-2.91, 2 Se 2.84
Bi  0.3708  0.5000  0.5072 (multiplicity 2)  6 S 2.69-2.94
Bi  0.3966  0.0000  0.2535 (multiplicity 2)  5 S 2.72-2.94, 1 Se 2.99
Bi  0.4016  0.0000  0.7544 (multiplicity 2)  3 S 2.66-2.69
Pb  0.0218  0.0000  0.2084 (multiplicity 2)  5 S 2.90-3.05, 1 Cu 3.16
Pb  0.0472  0.0000  0.4807 (multiplicity 2)  4 S 2.91-2.96, 2 Se 2.98
Pb  0.0700  0.0000  0.7677 (multiplicity 2)  4 S 2.98-3.28, 2 Se 3.00, 1 Cu 3.13
Se  0.0652  0.5000  0.6287 (multiplicity 2)  1 Bi 2.86, 4 Pb 2.98-3.00
Se  0.2583  0.0000  0.1459 (multiplicity 2)  3 Bi 2.84-2.99
Se  0.3346  0.5000  0.8274 (multiplicity 2)  3 Bi 2.84-2.99
S  0.0211  0.5000  0.3338 (multiplicity 2)  1 Bi 2.74, 4 Pb 2.90-2.91
S  0.1085  0.0000  0.1246 (multiplicity 2)  2 Cu 2.26-2.36
S  0.1166  0.5000  0.9356 (multiplicity 2)  2 Cu 2.31
S  0.1490  0.5000  0.3321 (multiplicity 2)  3 Bi 2.66-2.79
S  0.1850  0.0000  0.5988 (multiplicity 2)  3 Bi 2.72-2.91, 1 Pb 2.96
S  0.2058  0.0000  0.8571 (multiplicity 2)  4 Bi 2.92-2.94, 1 Pb 2.98
S  0.2825  0.0000  0.3783 (multiplicity 2)  3 Bi 2.70-2.86
S  0.3125  0.5000  0.5961 (multiplicity 2)  3 Bi 2.69-2.86
S  0.3858  0.5000  0.1148 (multiplicity 2)  4 Bi 2.91-2.94, 1 Pb 2.97
S  0.4117  0.5000  0.3767 (multiplicity 2)  3 Bi 2.72-2.94, 1 Pb 2.93
S  0.4447  0.0000  0.6445 (multiplicity 2)  3 Bi 2.66-2.79
S  0.4763  0.0000  0.0400 (multiplicity 2)  2 Cu 2.31
S  0.4844  0.5000  0.8509 (multiplicity 2)  2 Cu 2.26-2.36